(1)
Entry from Alexandria via LeMat-Bulk: Tl2BiAu2 at its PBEsol-relaxed geometry (meta-GGA SCAN). Values from VASP.

Computed properties:
DOS at the Fermi energy	0.3655	states/eV per atom
magnetic moment	0.000	Bohr magnetons per cell
ΔE to the lowest computed polymorph	16	meV/atom
space-group type	I4/mmm, No. 139

Geometry as Quantum ESPRESSO input:
```
&SYSTEM
  ibrav = 0, nat = 5, ntyp = 3
/
ATOMIC_SPECIES
Tl 204.38 Tl.upf
Bi 208.98 Bi.upf
Au 196.97 Au.upf
ATOMIC_POSITIONS angstrom
Tl 0.000 0.000 2.102
Tl 0.000 0.000 16.030
Bi 0.000 0.000 9.066
Au 1.884 0.000 4.533
Au 0.000 1.884 4.533
CELL_PARAMETERS angstrom
-1.884 1.884 9.066
1.884 -1.884 9.066
1.884 1.884 -9.066
```

***

(2)
Entry from Alexandria via LeMat-Bulk: Sc2BW at its PBEsol-relaxed geometry (meta-GGA SCAN). Values from VASP.

Computed properties:
DOS at the Fermi energy	1.0422	states/eV per atom
magnetic moment	0.000	Bohr magnetons per cell
uncorrected energy	-25.81	eV/atom
space-group type	R-3m, No. 166

Geometry as Quantum ESPRESSO input:
```
&SYSTEM
  ibrav = 0, nat = 4, ntyp = 3
/
ATOMIC_SPECIES
Sc 44.96 Sc.upf
B 10.81 B.upf
W 183.84 W.upf
ATOMIC_POSITIONS angstrom
Sc 0.000 0.000 2.733
Sc 0.000 0.000 23.477
B 0.000 0.000 13.105
W 0.000 0.000 0.000
CELL_PARAMETERS angstrom
1.478 0.853 8.737
-1.478 0.853 8.737
0.000 -1.707 8.737
```

***

(3)
Entry from Alexandria via LeMat-Bulk: AsPt2Br at its PBEsol-relaxed geometry (meta-GGA SCAN). Values from VASP.

Computed properties:
DOS at the Fermi energy	0.4728	states/eV per atom
magnetic moment	0.000	Bohr magnetons per cell
ΔE to the lowest computed polymorph	0	meV/atom
space-group type	Pmmm, No. 47

Geometry as Quantum ESPRESSO input:
```
&SYSTEM
  ibrav = 0, nat = 4, ntyp = 3
/
ATOMIC_SPECIES
As 74.92 As.upf
Pt 195.08 Pt.upf
Br 79.90 Br.upf
ATOMIC_POSITIONS angstrom
As 0.000 0.000 0.000
Pt 0.000 0.000 2.608
Pt 1.851 1.873 0.000
Br 1.851 1.873 2.608
CELL_PARAMETERS angstrom
3.701 0.000 0.000
0.000 3.745 0.000
0.000 0.000 5.217
```

***

(4)
Entry from Alexandria via LeMat-Bulk: MnPRu2 at its PBEsol-relaxed geometry (meta-GGA SCAN). Values from VASP.

Computed properties:
DOS at the Fermi energy	0.7823	states/eV per atom
magnetic moment	0.018	Bohr magnetons per cell
ΔE to the lowest computed polymorph	0	meV/atom
space-group type	Imm2, No. 44

Geometry as Quantum ESPRESSO input:
```
&SYSTEM
  ibrav = 0, nat = 4, ntyp = 3
/
ATOMIC_SPECIES
Mn 54.94 Mn.upf
P 30.97 P.upf
Ru 101.07 Ru.upf
ATOMIC_POSITIONS angstrom
Mn 0.000 0.000 0.000
P 1.379 0.000 1.755
Ru 0.000 0.000 3.653
Ru 0.000 2.058 1.833
CELL_PARAMETERS angstrom
-1.379 2.058 4.206
1.379 -2.058 4.206
1.379 2.058 -4.206
```

***

(5)
Entry from Alexandria via LeMat-Bulk: KMg2ZnAg at its PBEsol-relaxed geometry (meta-GGA SCAN). Values from VASP.

Computed properties:
DOS at the Fermi energy	0.3309	states/eV per atom
magnetic moment	0.000	Bohr magnetons per cell
uncorrected energy	-12.51	eV/atom
space-group type	P4/mmm, No. 123

Geometry as Quantum ESPRESSO input:
```
&SYSTEM
  ibrav = 0, nat = 5, ntyp = 4
/
ATOMIC_SPECIES
K 39.10 K.upf
Mg 24.30 Mg.upf
Zn 65.41 Zn.upf
Ag 107.87 Ag.upf
ATOMIC_POSITIONS angstrom
K 0.000 0.000 0.000
Mg 0.000 2.555 2.530
Mg 2.555 0.000 2.530
Zn 2.555 2.555 2.530
Ag 2.555 2.555 0.000
CELL_PARAMETERS angstrom
5.109 0.000 0.000
0.000 5.109 0.000
0.000 0.000 5.059
```

***

(6)
Entry from Alexandria via LeMat-Bulk: TcIrNO2 at its PBEsol-relaxed geometry (meta-GGA SCAN). Values from VASP.

Computed properties:
DOS at the Fermi energy	0.3720	states/eV per atom
magnetic moment	4.549	Bohr magnetons per cell
uncorrected energy	-25.14	eV/atom
space-group type	P4/mmm, No. 123

Geometry as Quantum ESPRESSO input:
```
&SYSTEM
  ibrav = 0, nat = 5, ntyp = 4
/
ATOMIC_SPECIES
Tc 98.00 Tc.upf
Ir 192.22 Ir.upf
N 14.01 N.upf
O 16.00 O.upf
ATOMIC_POSITIONS angstrom
Tc 0.000 0.000 0.000
Ir 1.985 1.985 1.867
N 1.985 1.985 0.000
O 0.000 1.985 1.867
O 1.985 0.000 1.867
CELL_PARAMETERS angstrom
3.971 0.000 0.000
0.000 3.971 0.000
0.000 0.000 3.733
```

***

(7)
Entry from Alexandria via LeMat-Bulk: MgP at its PBEsol-relaxed geometry (meta-GGA SCAN). Values from VASP.

Computed properties:
DOS at the Fermi energy	0.3032	states/eV per atom
magnetic moment	0.000	Bohr magnetons per cell
ΔE to the lowest computed polymorph	254	meV/atom
space-group type	P4/mmm, No. 123

Geometry as Quantum ESPRESSO input:
```
&SYSTEM
  ibrav = 0, nat = 2, ntyp = 2
/
ATOMIC_SPECIES
Mg 24.30 Mg.upf
P 30.97 P.upf
ATOMIC_POSITIONS angstrom
Mg 0.000 0.000 0.000
P 1.745 1.745 1.376
CELL_PARAMETERS angstrom
3.490 0.000 0.000
0.000 3.490 0.000
0.000 0.000 2.753
```

***

(8)
Entry from Alexandria via LeMat-Bulk: BeMo4W at its PBEsol-relaxed geometry (meta-GGA SCAN). Values from VASP.

Computed properties:
DOS at the Fermi energy	0.3145	states/eV per atom
magnetic moment	0.000	Bohr magnetons per cell
uncorrected energy	-35.13	eV/atom
space-group type	F-43m, No. 216

Geometry as Quantum ESPRESSO input:
```
&SYSTEM
  ibrav = 0, nat = 6, ntyp = 3
/
ATOMIC_SPECIES
Be 9.01 Be.upf
Mo 95.94 Mo.upf
W 183.84 W.upf
ATOMIC_POSITIONS angstrom
Be 0.000 0.000 0.000
Mo 4.502 2.694 2.694
Mo 2.694 4.502 2.694
Mo 2.694 2.694 4.502
Mo 4.502 4.502 4.502
W 1.799 1.799 1.799
CELL_PARAMETERS angstrom
0.000 3.598 3.598
3.598 0.000 3.598
3.598 3.598 0.000
```

***

(9)
Entry from Alexandria via LeMat-Bulk: TcHgRh3 at its PBEsol-relaxed geometry (meta-GGA SCAN). Values from VASP.

Computed properties:
DOS at the Fermi energy	0.7176	states/eV per atom
magnetic moment	0.000	Bohr magnetons per cell
uncorrected energy	-39.77	eV/atom
space-group type	Pm-3m, No. 221

Geometry as Quantum ESPRESSO input:
```
&SYSTEM
  ibrav = 0, nat = 5, ntyp = 3
/
ATOMIC_SPECIES
Tc 98.00 Tc.upf
Hg 200.59 Hg.upf
Rh 102.91 Rh.upf
ATOMIC_POSITIONS angstrom
Tc 0.000 0.000 0.000
Hg 2.293 2.293 2.293
Rh 0.000 0.000 2.293
Rh 0.000 2.293 0.000
Rh 2.293 0.000 0.000
CELL_PARAMETERS angstrom
4.585 0.000 0.000
0.000 4.585 0.000
0.000 0.000 4.585
```

***

(10)
Entry from Alexandria via LeMat-Bulk: La3AlH at its PBEsol-relaxed geometry (meta-GGA SCAN). Values from VASP.

Computed properties:
DOS at the Fermi energy	0.7043	states/eV per atom
magnetic moment	1.970	Bohr magnetons per cell
uncorrected energy	-28.42	eV/atom
space-group type	Pm-3m, No. 221

Geometry as Quantum ESPRESSO input:
```
&SYSTEM
  ibrav = 0, nat = 5, ntyp = 3
/
ATOMIC_SPECIES
La 138.91 La.upf
Al 26.98 Al.upf
H 1.01 H.upf
ATOMIC_POSITIONS angstrom
La 0.000 0.000 2.472
La 0.000 2.472 0.000
La 2.472 0.000 0.000
Al 2.472 2.472 2.472
H 0.000 0.000 0.000
CELL_PARAMETERS angstrom
4.944 0.000 0.000
0.000 4.944 0.000
0.000 0.000 4.944
```

***

(11)
Entry from Alexandria via LeMat-Bulk: BaCuPb2 at its PBEsol-relaxed geometry (meta-GGA SCAN). Values from VASP.

Computed properties:
DOS at the Fermi energy	0.2881	states/eV per atom
magnetic moment	0.000	Bohr magnetons per cell
uncorrected energy	-51.96	eV/atom
space-group type	Cmmm, No. 65

Geometry as Quantum ESPRESSO input:
```
&SYSTEM
  ibrav = 0, nat = 4, ntyp = 3
/
ATOMIC_SPECIES
Ba 137.33 Ba.upf
Cu 63.55 Cu.upf
Pb 207.20 Pb.upf
ATOMIC_POSITIONS angstrom
Ba 0.000 0.000 0.000
Cu 3.129 0.000 0.000
Pb 3.129 1.532 2.240
Pb 3.129 -1.532 2.240
CELL_PARAMETERS angstrom
3.129 -4.252 0.000
3.129 4.252 0.000
0.000 0.000 4.480
```

***

(12)
Entry from Alexandria via LeMat-Bulk: Mn2Se2N at its PBEsol-relaxed geometry (meta-GGA SCAN). Values from VASP.

Computed properties:
DOS at the Fermi energy	0.7200	states/eV per atom
magnetic moment	6.856	Bohr magnetons per cell
uncorrected energy	-17.38	eV/atom
space-group type	I4/mmm, No. 139

Geometry as Quantum ESPRESSO input:
```
&SYSTEM
  ibrav = 0, nat = 5, ntyp = 3
/
ATOMIC_SPECIES
Mn 54.94 Mn.upf
Se 78.96 Se.upf
N 14.01 N.upf
ATOMIC_POSITIONS angstrom
Mn 0.000 0.000 1.651
Mn 0.000 0.000 8.393
Se 2.280 0.000 2.511
Se 0.000 2.280 2.511
N 0.000 0.000 0.000
CELL_PARAMETERS angstrom
-2.280 2.280 5.022
2.280 -2.280 5.022
2.280 2.280 -5.022
```